(1)
BaNbNiAu, relaxed, DFT PBE; calculated density = 8.8 g/cm3; space-group type = F-43m; final energy = -4.642 eV/atom
1.0
7.151 0.000 0.000
0.000 7.151 0.000
0.000 0.000 7.151
Ba Nb Ni Au
4 4 4 4
direct
0.000 0.000 0.000
0.000 0.500 0.500
0.500 0.000 0.500
0.500 0.500 0.000
0.000 0.000 0.500
0.000 0.500 0.000
0.500 0.000 0.000
0.500 0.500 0.500
0.250 0.250 0.250
0.250 0.750 0.750
0.750 0.250 0.750
0.750 0.750 0.250
0.250 0.250 0.750
0.250 0.750 0.250
0.750 0.250 0.250
0.750 0.750 0.750

(2)
NaGdNi, relaxed, DFT PBE; calculated density = 5.7 g/cm3; space-group type = F-43m; final energy = -3.115 eV/atom
1.0
6.528 0.000 0.000
0.000 6.528 0.000
0.000 0.000 6.528
Na Gd Ni
4 4 4
direct
0.000 0.000 0.000
0.000 0.500 0.500
0.500 0.000 0.500
0.500 0.500 0.000
0.250 0.250 0.750
0.250 0.750 0.250
0.750 0.250 0.250
0.750 0.750 0.750
0.250 0.250 0.250
0.250 0.750 0.750
0.750 0.250 0.750
0.750 0.750 0.250

(3)
Li2CuNi, relaxed, DFT PBE; calculated density = 4.8 g/cm3; space-group type = F-43m; final energy = -3.291 eV/atom
1.0
5.732 0.000 0.000
0.000 5.732 0.000
0.000 0.000 5.732
Li Cu Ni
8 4 4
direct
0.000 0.000 0.000
0.000 0.500 0.500
0.250 0.250 0.250
0.250 0.750 0.750
0.500 0.000 0.500
0.500 0.500 0.000
0.750 0.250 0.750
0.750 0.750 0.250
0.000 0.000 0.500
0.000 0.500 0.000
0.500 0.000 0.000
0.500 0.500 0.500
0.250 0.250 0.750
0.250 0.750 0.250
0.750 0.250 0.250
0.750 0.750 0.750

(4)
SnHg2Pd, relaxed, DFT PBE; calculated density = 11.9 g/cm3; space-group type = F-43m; final energy = -2.417 eV/atom
1.0
7.045 0.000 0.000
0.000 7.045 0.000
0.000 0.000 7.045
Sn Hg Pd
4 8 4
direct
0.000 0.000 0.000
0.000 0.500 0.500
0.500 0.000 0.500
0.500 0.500 0.000
0.000 0.000 0.500
0.000 0.500 0.000
0.250 0.250 0.750
0.250 0.750 0.250
0.500 0.000 0.000
0.500 0.500 0.500
0.750 0.250 0.250
0.750 0.750 0.750
0.250 0.250 0.250
0.250 0.750 0.750
0.750 0.250 0.750
0.750 0.750 0.250

(5)
SmRe2O6, relaxed, DFT PBE; calculated density = 8.8 g/cm3; space-group type = P4/mmm; final energy = -8.499 eV/atom
1.0
3.886 0.000 0.000
0.000 3.886 0.000
0.000 0.000 7.706
Sm Re O
1 2 6
direct
0.000 0.000 0.000
0.500 0.500 0.263
0.500 0.500 0.737
0.000 0.500 0.225
0.000 0.500 0.775
0.500 0.000 0.225
0.500 0.000 0.775
0.500 0.500 0.000
0.500 0.500 0.500

(6)
HfTlZn, relaxed, DFT PBE; calculated density = 10.7 g/cm3; space-group type = F-43m; final energy = -4.022 eV/atom
1.0
6.528 0.000 0.000
0.000 6.528 0.000
0.000 0.000 6.528
Hf Tl Zn
4 4 4
direct
0.000 0.000 0.000
0.000 0.500 0.500
0.500 0.000 0.500
0.500 0.500 0.000
0.250 0.250 0.250
0.250 0.750 0.750
0.750 0.250 0.750
0.750 0.750 0.250
0.000 0.000 0.500
0.000 0.500 0.000
0.500 0.000 0.000
0.500 0.500 0.500

(7)
LiMo5, relaxed, DFT PBE; calculated density = 7.5 g/cm3; space-group type = P6/mmm; final energy = -8.749 eV/atom
1.0
5.345 0.000 0.000
-2.672 4.629 0.000
0.000 0.000 4.370
Li Mo
1 5
direct
0.000 0.000 0.000
0.000 0.500 0.500
0.333 0.667 0.000
0.500 0.000 0.500
0.500 0.500 0.500
0.667 0.333 0.000

(8)
Tb6InPd2, relaxed, DFT PBE; calculated density = 8.7 g/cm3; space-group type = Immm; final energy = -5.077 eV/atom
1.0
-4.736 4.916 5.241
4.736 -4.916 5.241
4.736 4.916 -5.241
Tb In Pd
12 2 4
direct
0.038 0.237 0.802
0.183 0.290 0.473
0.183 0.710 0.893
0.326 0.025 0.699
0.326 0.627 0.301
0.435 0.237 0.198
0.565 0.763 0.802
0.674 0.373 0.699
0.674 0.975 0.301
0.817 0.290 0.107
0.817 0.710 0.527
0.962 0.763 0.198
0.000 0.000 0.000
0.500 0.500 0.000
0.132 0.632 0.500
0.345 0.000 0.345
0.655 0.000 0.655
0.868 0.368 0.500

What did the sixth record say?
HfTlZn, relaxed, DFT PBE; calculated density = 10.7 g/cm3; space-group type = F-43m; final energy = -4.022 eV/atom
1.0
6.528 0.000 0.000
0.000 6.528 0.000
0.000 0.000 6.528
Hf Tl Zn
4 4 4
direct
0.000 0.000 0.000
0.000 0.500 0.500
0.500 0.000 0.500
0.500 0.500 0.000
0.250 0.250 0.250
0.250 0.750 0.750
0.750 0.250 0.750
0.750 0.750 0.250
0.000 0.000 0.500
0.000 0.500 0.000
0.500 0.000 0.000
0.500 0.500 0.500

Q: The highest final energy belongs to which entry?
A: SnHg2Pd

Copy entry 4 word for word.
SnHg2Pd, relaxed, DFT PBE; calculated density = 11.9 g/cm3; space-group type = F-43m; final energy = -2.417 eV/atom
1.0
7.045 0.000 0.000
0.000 7.045 0.000
0.000 0.000 7.045
Sn Hg Pd
4 8 4
direct
0.000 0.000 0.000
0.000 0.500 0.500
0.500 0.000 0.500
0.500 0.500 0.000
0.000 0.000 0.500
0.000 0.500 0.000
0.250 0.250 0.750
0.250 0.750 0.250
0.500 0.000 0.000
0.500 0.500 0.500
0.750 0.250 0.250
0.750 0.750 0.750
0.250 0.250 0.250
0.250 0.750 0.750
0.750 0.250 0.750
0.750 0.750 0.250

Repeat the fourth record exactly.
SnHg2Pd, relaxed, DFT PBE; calculated density = 11.9 g/cm3; space-group type = F-43m; final energy = -2.417 eV/atom
1.0
7.045 0.000 0.000
0.000 7.045 0.000
0.000 0.000 7.045
Sn Hg Pd
4 8 4
direct
0.000 0.000 0.000
0.000 0.500 0.500
0.500 0.000 0.500
0.500 0.500 0.000
0.000 0.000 0.500
0.000 0.500 0.000
0.250 0.250 0.750
0.250 0.750 0.250
0.500 0.000 0.000
0.500 0.500 0.500
0.750 0.250 0.250
0.750 0.750 0.750
0.250 0.250 0.250
0.250 0.750 0.750
0.750 0.250 0.750
0.750 0.750 0.250